No. 1
Compound: LaTl2Cl
Source: the Alexandria database
Functional: PBE
Structure: optimized geometry

abc: 5.3684 5.3684 5.3684
angles: 60.00 60.00 60.00
With the nearest neighbours (Å) after each atom.
Fractional coordinates of all 4 atoms:
Cl 0.5000 0.5000 0.5000  4 La 3.29, 4 Tl 3.29
La 0.7500 0.7500 0.7500  4 Cl 3.29, 4 Tl 3.29
Tl 0.2500 0.2500 0.2500  4 Tl 3.29, 4 Cl 3.29
Tl 0.0000 0.0000 0.0000  4 Tl 3.29, 4 La 3.29

D(E_F): 0.256 states/eV per atom
Formation energy from raw total energies: -2.70 eV/f.u.
Total moment: 0.000 μB/atom
Symmetry: F-43m, No. 216
Calculated total energy: -3.5510 eV per atom
Distance to the lowest polymorph of the same formula: 125 meV per atom

---

No. 2
Compound: CeMg3Co
Source: the Alexandria database
Functional: PBE
Structure: optimized geometry

abc: 5.1640 5.9844 7.8204
angles: 90.00 116.74 90.00
With the nearest neighbours (Å) after each atom.
Fractional coordinates of all 10 atoms:
Co 0.2131 0.9476 0.7616  1 Ce 2.20
Co 0.8213 0.4476 0.7990  1 Ce 2.20
Mg 0.8897 0.4476 0.1830  1 Co 2.86, 4 Mg 3.04-3.14
Mg 0.7335 0.1980 0.4902  2 Co 2.70-2.86, 2 Mg 2.99-3.00
Mg 0.1447 0.9476 0.3776  1 Co 2.86, 4 Mg 3.04-3.14
Mg 0.7335 0.6972 0.4902  2 Co 2.70-2.86, 2 Mg 2.99-3.00
Mg 0.3008 0.6980 0.0704  2 Co 2.70-2.86, 2 Mg 2.99-3.00
Mg 0.3008 0.1972 0.0704  2 Co 2.70-2.86, 2 Mg 2.99-3.00
Ce 0.6831 0.9476 0.8567  1 Co 2.20
Ce 0.3512 0.4476 0.7038  1 Co 2.20

D(E_F): 0.749 states/eV per atom
Total moment: 0.017 μB/atom
Symmetry: P2_1/m, No. 11
ΔE_f: -108.3 meV/atom
Calculated total energy: -3.6730 eV per atom